[1]
The following is a PBE-GGA calculation of a relaxed La6Si2N crystal, from the Alexandria database.

a = 6.876 Å, b = 6.876 Å, c = 12.183 Å
α = 90.00°, β = 90.00°, γ = 90.00°
Element x y z (fractional)
La 0.306 0.306 0.355
La 0.694 0.694 0.355
La 0.194 0.806 0.855
La 0.806 0.194 0.855
La 0.194 0.806 0.145
La 0.806 0.194 0.145
La 0.306 0.306 0.645
La 0.694 0.694 0.645
La 0.273 0.273 0.000
La 0.727 0.727 0.000
La 0.227 0.773 0.500
La 0.773 0.227 0.500
Si 0.000 0.000 0.332
Si 0.500 0.500 0.832
Si 0.500 0.500 0.168
Si 0.000 0.000 0.668
N 0.000 0.000 0.000
N 0.500 0.500 0.500

Formation energy from raw total energies (eV/atom): -0.480
Space group: P4_2/mnm, No. 136



[2]
The following is a PBE-GGA calculation of a relaxed CrCuTc2Te crystal, from the Alexandria database.

a = 4.593 Å, b = 4.473 Å, c = 4.593 Å
α = 90.00°, β = 90.00°, γ = 90.00°
Each line ends with the local moment (μB).
Element x y z (fractional)
Cr 0.000 0.500 0.000  3.42
Te 0.500 0.500 0.500  -0.01
Tc 0.000 0.000 0.500  -1.46
Tc 0.500 0.000 0.000  -0.98
Cu 0.000 0.000 0.000  -0.02

Formation energy from raw total energies (eV/atom): 1.285
Space group: P4/mmm, No. 123



[3]
The following is a PBE-GGA calculation of a relaxed La2BeGa2Au4 crystal, from the Alexandria database.

a = 6.390 Å, b = 6.390 Å, c = 6.390 Å
α = 94.47°, β = 117.45°, γ = 117.45°
Element x y z (fractional)
La 0.500 0.750 0.250
La 0.500 0.250 0.750
Be 0.000 0.000 0.000
Ga 0.000 0.688 0.688
Ga 0.000 0.312 0.312
Au 0.000 0.747 0.253
Au 0.494 0.747 0.747
Au 0.000 0.253 0.747
Au 0.506 0.253 0.253

Energy of formation (eV per atom): -0.55
Space group: I4/mmm, No. 139



[4]
The following is a PBE-GGA calculation of a relaxed Ni2SnGe2 crystal, from the Alexandria database.

a = 7.607 Å, b = 7.607 Å, c = 2.799 Å
α = 90.00°, β = 90.00°, γ = 90.00°
Element x y z (fractional)
Ni 0.146 0.646 0.500
Ni 0.646 0.854 0.500
Ni 0.854 0.354 0.500
Ni 0.354 0.146 0.500
Ge 0.363 0.863 0.000
Ge 0.863 0.637 0.000
Ge 0.637 0.137 0.000
Ge 0.137 0.363 0.000
Sn 0.000 0.000 0.000
Sn 0.500 0.500 0.000

Energy of formation (eV per atom): 0.09
Space group: P4/mbm, No. 127